Below is a relaxed Cr2W2O crystal, with properties calculated at the PBE with a Hubbard U level.

Values from the calculation:
- total moment (μB/cell) = 3.78
- excess energy over the best structure of this formula in the dataset (meV per atom) = 10

Cell lengths 5.295, 5.295, 5.163 Å; angles 90.00, 90.00, 90.00 degrees
Sites, in units of the cell vectors:
Cr 0.170 0.330 0.000
Cr 0.330 0.830 0.000
Cr 0.670 0.170 0.000
Cr 0.830 0.670 0.000
W 0.195 0.695 0.500
W 0.305 0.195 0.500
W 0.695 0.805 0.500
W 0.805 0.305 0.500
O 0.000 0.000 0.000
O 0.500 0.500 0.000